Record 1
Entry from Alexandria: a relaxed structure of Nd2Al2S7 (PBE).

abc: 8.1418 12.0332 6.6116
angles: 90.00 111.67 90.00
Space group C2/m (No. 12)
One atom of each set of equivalent atoms:
Nd  0.0000  0.1895  0.0000 x4
Al  0.2276  0.5000  0.3635 x4
S  0.0000  0.5000  0.5000 x2
S  0.1800  0.0000  0.2697 x4
S  0.2358  0.1588  0.7805 x8

- formation energy without anion corrections (eV per atom) = -1.250
- M_tot (μB per cell) = 0.00
- crystal system = monoclinic
- electronic total energy (eV per atom) = -5.42

---

Record 2
Entry from Alexandria: a relaxed structure of Co3H (PBE).

abc: 2.4678 2.4706 5.9922
angles: 90.00 90.00 90.00
Space group Pmm2 (No. 25)
One atom of each set of equivalent atoms:
Co  0.0000  0.0000  0.0000 x1
Co  0.0000  0.5000  0.3603 x1
Co  0.5000  0.5000  0.7106 x1
H  0.5000  0.0000  0.2584 x1

- distance to the lowest polymorph of the same formula (kcal/mol of atoms) = 5.65
- M_tot (μB per cell) = 4.60
- crystal system = orthorhombic
- electronic total energy (eV per atom) = -5.93

---

Record 3
Entry from Alexandria: a relaxed structure of YHo2Tm6Sc (PBE).

abc: 8.8990 14.7163 9.3041
angles: 90.00 97.19 90.00
Space group C2/c (No. 15)
One atom of each set of equivalent atoms:
Y  0.0000  0.0217  0.2500 x4
Ho  0.2459  0.4461  0.4533 x8
Tm  0.0591  0.1891  0.9434 x8
Tm  0.1031  0.3933  0.1159 x8
Tm  0.2115  0.2218  0.3105 x8
Sc  0.0000  0.4128  0.7500 x4

- M_tot (μB per cell) = 0.00
- E_form (eV per atom) = 0.13
- crystal system = monoclinic
- electronic total energy (eV per atom) = -4.75

---

Record 4
Entry from Alexandria: a relaxed structure of La3As2ClO7 (PBE).

abc: 13.1011 13.1011 5.6474
angles: 90.00 90.00 90.00
Space group P4_2/mnm (No. 136)
One atom of each set of equivalent atoms:
La  0.0521  0.3636  0.0000 x8
La  0.2310  0.7690  0.0000 x4
As  0.0205  0.7914  0.5000 x8
Cl  0.1671  0.1671  0.0000 x4
O  0.0000  0.5000  0.2500 x4
O  0.0849  0.7226  0.2619 x16
O  0.0894  0.2887  0.5000 x8

- formation energy without anion corrections (eV per atom) = -2.655
- M_tot (μB per cell) = 0.00
- crystal system = tetragonal
- electronic total energy (eV per atom) = -7.32

---

How do the records compare in density of states at the Fermi level? In the order shown, they have 0.00 3.31 50.62 0.00 states/eV/cell.